No. 1
First-principles (PBE) data for a relaxed NdThNi4 crystal, as listed in the Alexandria database.

Calculated values
- Energy of formation from the pure elements: -0.37 eV/atom
- Calculated volume: 18.466 Å³ per atom
- Spin magnetization: 0.000 μB per atom
- Polymorph energy (0 for the lowest one): 0.000 eV per atom
- Calculated total energy: -37.5 eV/cell

Cell: 3.841 4.097 7.042 Å, 90.00 90.00 90.00°
Fractional coordinates of all 6 atoms:
Nd  0.000  0.000  0.000
Th  0.000  0.500  0.500
Ni  0.500  0.000  0.335
Ni  0.500  0.000  0.665
Ni  0.500  0.500  0.170
Ni  0.500  0.500  0.830

=====

No. 2
First-principles (PBE) data for a relaxed NdThNi crystal, as listed in the Alexandria database.

Calculated values
- Energy of formation from the pure elements: -0.15 eV/atom
- Calculated volume: 25.508 Å³ per atom
- Spin magnetization: 0.000 μB per atom
- Polymorph energy (0 for the lowest one): 0.000 eV per atom
- Calculated total energy: -18.4 eV/cell

Cell: 6.430 6.430 6.430 Å, 147.48 147.48 46.65°
Fractional coordinates of all 3 atoms:
Nd  0.000  0.000  0.000
Th  0.286  0.286  0.000
Ni  0.679  0.679  0.000

=====

No. 3
First-principles (PBE) data for a relaxed Nd2ThNi crystal, as listed in the Alexandria database.

Calculated values
- Energy of formation from the pure elements: 0.17 eV/atom
- Calculated volume: 29.880 Å³ per atom
- Spin magnetization: 0.000 μB per atom
- Polymorph energy (0 for the lowest one): 0.218 eV per atom
- Calculated total energy: -22.1 eV/cell

Cell: 10.856 10.856 10.856 Å, 19.08 19.08 19.08°
Fractional coordinates of all 4 atoms:
Nd  0.109  0.109  0.109
Nd  0.891  0.891  0.891
Th  0.000  0.000  0.000
Ni  0.500  0.500  0.500

=====

No. 4
First-principles (PBE) data for a relaxed Nd3ThNi crystal, as listed in the Alexandria database.

Calculated values
- Energy of formation from the pure elements: 0.12 eV/atom
- Calculated volume: 32.334 Å³ per atom
- Spin magnetization: 0.000 μB per atom
- Calculated total energy: -26.9 eV/cell

Cell: 5.448 5.448 5.448 Å, 90.00 90.00 90.00°
Fractional coordinates of all 5 atoms:
Nd  0.000  0.000  0.500
Nd  0.000  0.500  0.000
Nd  0.500  0.000  0.000
Th  0.500  0.500  0.500
Ni  0.000  0.000  0.000